Entry 1:
A plane-wave DFT calculation with PBE was carried out for a geometry-optimized Pr2DyInN structure.

Cell lengths 4.820, 5.098, 5.098 Å; angles 90.00, 90.00, 90.00 degrees
Element x y z (fractional)
N (0.000, 0.000, 0.000)
Dy (0.500, 0.000, 0.000)
Pr (0.000, 0.500, 0.000)
Pr (0.000, 0.000, 0.500)
In (0.500, 0.500, 0.500)

Summary:
The value obtained for the electronic total energy is -0.4350 Ry/atom. Its crystal system is tetragonal. For the total magnetic moment, the calculation gives 0.000 μB per atom. The value obtained for the uncorrected formation energy is -873 meV/atom.

=====

Entry 2:
A plane-wave DFT calculation with PBE was carried out for a geometry-optimized SiPt2Au structure.

Cell lengths 5.084, 5.084, 5.084 Å; angles 141.83, 127.14, 67.05 degrees
Element x y z (fractional)
Si (0.750, 0.250, 0.500)
Au (0.250, 0.750, 0.500)
Pt (0.546, 0.546, 0.000)
Pt (0.954, 0.954, 0.000)

Summary:
The value obtained for the electronic total energy is -0.4042 Ry/atom. Its crystal system is orthorhombic. For the total magnetic moment, the calculation gives 0.000 μB per atom. The value obtained for the uncorrected formation energy is -304 meV/atom.

=====

Entry 3:
A plane-wave DFT calculation with PBE was carried out for a geometry-optimized LaZn2Re structure.

Cell lengths 2.943, 2.943, 9.234 Å; angles 90.00, 90.00, 109.09 degrees
Element x y z (fractional)
La (0.000, 0.000, 0.515)
Zn (0.500, 0.500, 0.213)
Zn (0.000, 0.000, 0.992)
Re (0.500, 0.500, 0.779)

Summary:
The value obtained for the electronic total energy is -0.3375 Ry/atom. Its crystal system is orthorhombic. For the total magnetic moment, the calculation gives 0.000 μB per atom.

=====

Entry 4:
A plane-wave DFT calculation with PBE was carried out for a geometry-optimized YCr2P structure.

Cell lengths 5.077, 5.077, 5.077 Å; angles 133.62, 133.62, 67.68 degrees
Element x y z (fractional)
Y (0.750, 0.250, 0.500)
P (0.250, 0.750, 0.500)
Cr (0.000, 0.000, 0.000)
Cr (0.500, 0.500, 0.000)

Summary:
The value obtained for the electronic total energy is -0.5553 Ry/atom. Its crystal system is tetragonal. For the total magnetic moment, the calculation gives 1.483 μB per atom.